Entry from Alexandria via LeMat-Bulk: a relaxed LiVP2O7 crystal (GGA+U).

Lattice parameters (Å, degrees): 6.4034 6.4034 13.3844 74.99 74.99 80.67
With the nearest neighbours (Å) after each atom.
Fractional coordinates of all 44 atoms:
Li: 0.7636 0.9763 0.1525  4 O 2.04-2.13
Li: 0.2364 0.0237 0.8475  4 O 2.04-2.13
Li: 0.0237 0.2364 0.3475  4 O 2.04-2.13
Li: 0.9763 0.7636 0.6525  4 O 2.04-2.13
O: 0.5758 0.0187 0.8013  1 P 1.54
O: 0.5452 0.4473 0.6405  1 P 1.52
O: 0.5983 0.2150 0.4825  1 P 1.54
O: 0.3842 0.2032 0.0234  2 P 1.60-1.63
O: 0.1853 0.3303 0.8755  1 P 1.54
O: 0.7305 0.9024 0.3133  1 P 1.53
O: 0.4473 0.5452 0.1405  1 P 1.52
O: 0.6697 0.8147 0.6245  1 P 1.54
O: 0.3303 0.1853 0.3755  1 P 1.54
O: 0.9024 0.7305 0.8133  1 P 1.53
O: 0.2695 0.0976 0.6867  1 P 1.53
O: 0.9335 0.1101 0.6206  1 P 1.53
O: 0.1101 0.9335 0.1206  1 P 1.53
O: 0.7968 0.6158 0.4766  2 P 1.60-1.63
O: 0.4017 0.7850 0.5175  1 P 1.54
O: 0.0187 0.5758 0.3013  1 P 1.54
O: 0.2150 0.5983 0.9825  1 P 1.54
O: 0.9813 0.4242 0.6987  1 P 1.54
O: 0.8899 0.0665 0.8794  1 P 1.53
O: 0.2032 0.3842 0.5234  2 P 1.60-1.63
O: 0.4242 0.9813 0.1987  1 P 1.54
O: 0.4548 0.5527 0.3595  1 P 1.52
O: 0.7850 0.4017 0.0175  1 P 1.54
O: 0.0976 0.2695 0.1867  1 P 1.53
O: 0.6158 0.7968 0.9766  2 P 1.60-1.63
O: 0.0665 0.8899 0.3794  1 P 1.53
O: 0.5527 0.4548 0.8595  1 P 1.52
O: 0.8147 0.6697 0.1245  1 P 1.54
P: 0.5896 0.6695 0.5696  4 O 1.52-1.63
P: 0.2467 0.0913 0.1377  4 O 1.53-1.60
P: 0.9087 0.7533 0.3623  4 O 1.53-1.60
P: 0.6695 0.5896 0.0696  4 O 1.52-1.63
P: 0.7533 0.9087 0.8623  4 O 1.53-1.60
P: 0.3305 0.4104 0.9304  4 O 1.52-1.63
P: 0.0913 0.2467 0.6377  4 O 1.53-1.60
P: 0.4104 0.3305 0.4304  4 O 1.52-1.63
V: 0.1283 0.5981 0.1405  6 O 2.02-2.08
V: 0.5981 0.1283 0.6405  6 O 2.02-2.08
V: 0.4019 0.8717 0.3595  6 O 2.02-2.08
V: 0.8717 0.4019 0.8595  6 O 2.02-2.08

SG ... C2/c (15)
Total energy ... -7.2542 eV per atom



Entry from Alexandria via LeMat-Bulk: a relaxed Li2VPO6 crystal (GGA+U).

Lattice parameters (Å, degrees): 4.7077 8.6716 10.5083 90.00 90.00 90.00
With the nearest neighbours (Å) after each atom.
Fractional coordinates of all 40 atoms:
Li: 0.0273 0.3275 0.0862  4 O 1.99-2.16
Li: 0.5273 0.8275 0.4138  4 O 1.99-2.16
Li: 0.4640 0.1231 0.8702  6 O 2.03-2.27
Li: 0.5360 0.6231 0.1298  6 O 2.03-2.27
Li: 0.4727 0.3275 0.5862  4 O 1.99-2.16
Li: 0.9727 0.8275 0.9138  4 O 1.99-2.16
Li: 0.9640 0.6231 0.6298  6 O 2.03-2.27
Li: 0.0360 0.1231 0.3702  6 O 2.03-2.27
O: 0.3157 0.6493 0.7765  1 P 1.57
O: 0.1843 0.6493 0.2765  1 P 1.57
O: 0.6843 0.1493 0.2235  1 P 1.57
O: 0.7399 0.8169 0.7142  1 P 1.52
O: 0.7540 0.6327 0.4483  1 V 1.67
O: 0.2399 0.3169 0.7858  1 P 1.52
O: 0.2627 0.9415 0.7878  1 P 1.56
O: 0.7676 0.3157 0.9168  1 P 1.58
O: 0.2460 0.1327 0.5517  1 V 1.67
O: 0.8157 0.1493 0.7235  1 P 1.57
O: 0.2676 0.8157 0.5832  1 P 1.58
O: 0.3012 0.4768 0.0105  1 V 1.67
O: 0.8012 0.9768 0.4895  1 V 1.67
O: 0.7601 0.8169 0.2142  1 P 1.52
O: 0.7627 0.4415 0.7122  1 P 1.56
O: 0.2540 0.1327 0.0517  1 V 1.67
O: 0.2601 0.3169 0.2858  1 P 1.52
O: 0.7460 0.6327 0.9483  1 V 1.67
O: 0.7373 0.4415 0.2122  1 P 1.56
O: 0.2324 0.8157 0.0832  1 P 1.58
O: 0.2373 0.9415 0.2878  1 P 1.56
O: 0.6988 0.9768 0.9895  1 V 1.67
O: 0.1988 0.4768 0.5105  1 V 1.67
O: 0.7324 0.3157 0.4168  1 P 1.58
V: 0.4801 0.0046 0.1125  2 O 1.67
V: 0.9801 0.5046 0.3875  2 O 1.67
V: 0.0199 0.0046 0.6125  2 O 1.67
V: 0.5199 0.5046 0.8875  2 O 1.67
P: 0.9168 0.3065 0.7820  4 O 1.52-1.58
P: 0.4168 0.8065 0.7180  4 O 1.52-1.58
P: 0.0832 0.8065 0.2180  4 O 1.52-1.58
P: 0.5832 0.3065 0.2820  4 O 1.52-1.58

SG ... Pna2_1 (33)
Energy above the most stable polymorph in this dataset ... 0.000 eV/f.u.



Entry from Alexandria via LeMat-Bulk: a relaxed LiVPO4 crystal (GGA+U).

Lattice parameters (Å, degrees): 4.7692 6.1089 10.5118 90.00 90.00 90.00
With the nearest neighbours (Å) after each atom.
Fractional coordinates of all 28 atoms:
O: 0.2326 0.7500 0.4038  1 P 1.54
O: 0.2736 0.4524 0.1600  1 P 1.58
O: 0.2264 0.4524 0.6600  1 P 1.58
O: 0.7326 0.2500 0.0962  1 P 1.54
O: 0.2264 0.0476 0.6600  1 P 1.58
O: 0.7084 0.7500 0.0468  1 P 1.55
O: 0.2916 0.2500 0.9532  1 P 1.55
O: 0.7264 0.9524 0.8400  1 P 1.58
O: 0.7916 0.7500 0.5468  1 P 1.55
O: 0.7736 0.5476 0.3400  1 P 1.58
O: 0.2736 0.0476 0.1600  1 P 1.58
O: 0.7736 0.9524 0.3400  1 P 1.58
O: 0.7264 0.5476 0.8400  1 P 1.58
O: 0.2674 0.7500 0.9038  1 P 1.54
O: 0.7674 0.2500 0.5962  1 P 1.54
O: 0.2084 0.2500 0.4532  1 P 1.55
Li: 0.5000 0.0000 0.5000  6 O 2.12-2.23
Li: 0.5000 0.5000 0.5000  6 O 2.12-2.23
Li: 0.0000 0.0000 0.0000  6 O 2.12-2.23
Li: 0.0000 0.5000 0.0000  6 O 2.12-2.23
V: 0.5203 0.2500 0.7748  6 O 2.17-2.22
V: 0.9797 0.2500 0.2748  6 O 2.17-2.22
V: 0.4797 0.7500 0.2252  6 O 2.17-2.22
V: 0.0203 0.7500 0.7252  6 O 2.17-2.22
P: 0.0894 0.2500 0.5907  4 O 1.54-1.58
P: 0.4106 0.2500 0.0907  4 O 1.54-1.58
P: 0.5894 0.7500 0.9093  4 O 1.54-1.58
P: 0.9106 0.7500 0.4093  4 O 1.54-1.58

SG ... Pnma (62)
Energy above the most stable polymorph in this dataset ... 0.000 eV/f.u.



Entry from Alexandria via LeMat-Bulk: a relaxed Li2VP2O8 crystal (GGA+U).

Lattice parameters (Å, degrees): 4.8290 4.8290 6.5273 87.82 87.82 67.09
With the nearest neighbours (Å) after each atom.
Fractional coordinates of all 13 atoms:
P: 0.6537 0.6537 0.7684  4 O 1.51-1.57
P: 0.3419 0.3419 0.2276  4 O 1.49-1.58
V: 0.0048 0.0048 0.9919  6 O 1.88-2.04
Li: 0.6789 0.6789 0.2864  1 O 1.95
Li: 0.0053 0.0053 0.5278  2 O 1.95-2.04
O: 0.7528 0.7528 0.5671  1 P 1.51
O: 0.7647 0.7647 0.9606  1 P 1.57
O: 0.2348 0.2348 0.0338  1 P 1.56
O: 0.6965 0.2269 0.2128  1 P 1.58
O: 0.3003 0.7774 0.7855  1 P 1.57
O: 0.2269 0.6965 0.2128  1 P 1.58
O: 0.2355 0.2355 0.4208  1 P 1.49
O: 0.7774 0.3003 0.7855  1 P 1.57

SG ... Cm (8)
Energy above the most stable polymorph in this dataset ... 0.565 eV/f.u.



Entry from Alexandria via LeMat-Bulk: a relaxed Li4VP2O9 crystal (GGA+U).

Lattice parameters (Å, degrees): 8.0105 8.0105 7.1977 90.00 90.00 129.22
With the nearest neighbours (Å) after each atom.
Fractional coordinates of all 32 atoms:
O: 0.1432 0.8568 0.9749  1 P 1.53
O: 0.6555 0.9616 0.3158  1 P 1.58
O: 0.5384 0.8445 0.6842  1 P 1.58
O: 0.4908 0.5092 0.7157  1 P 1.53
O: 0.7500 0.2500 0.5945  2 V 1.85
O: 0.8568 0.1432 0.0251  1 P 1.53
O: 0.9908 0.0092 0.2843  1 P 1.53
O: 0.8445 0.5384 0.3158  1 P 1.58
O: 0.6432 0.3568 0.0251  1 P 1.53
O: 0.0384 0.3445 0.3158  1 P 1.58
O: 0.2500 0.7500 0.4055  2 V 1.85
O: 0.5092 0.4908 0.2843  1 P 1.53
O: 0.0092 0.9908 0.7157  1 P 1.53
O: 0.4616 0.1555 0.3158  1 P 1.58
O: 0.1555 0.4616 0.6842  1 P 1.58
O: 0.9616 0.6555 0.6842  1 P 1.58
O: 0.3568 0.6432 0.9749  1 P 1.53
O: 0.3445 0.0384 0.6842  1 P 1.58
P: 0.1112 0.8888 0.7720  4 O 1.53-1.58
P: 0.3888 0.6112 0.7720  4 O 1.53-1.58
P: 0.8888 0.1112 0.2280  4 O 1.53-1.58
P: 0.6112 0.3888 0.2280  4 O 1.53-1.58
Li: 0.3810 0.6190 0.2318  2 O 1.88-1.89
Li: 0.5000 0.0000 0.0000  4 O 2.32
Li: 0.0000 0.5000 0.0000  4 O 2.32
Li: 0.6190 0.3810 0.7682  2 O 1.88-1.89
Li: 0.2500 0.2500 0.5000  4 O 2.32
Li: 0.8810 0.1190 0.7682  2 O 1.88-1.89
Li: 0.7500 0.7500 0.5000  4 O 2.32
Li: 0.1190 0.8810 0.2318  2 O 1.88-1.89
V: 0.5000 0.0000 0.5000  6 O 1.85-1.97
V: 0.0000 0.5000 0.5000  6 O 1.85-1.97

SG ... Cmme (67)
Energy above the most stable polymorph in this dataset ... 0.303 eV/f.u.



Entry from Alexandria via LeMat-Bulk: a relaxed Li3V3P4O16 crystal (GGA+U).

Lattice parameters (Å, degrees): 8.5921 9.0681 9.2322 104.63 115.36 101.76
With the nearest neighbours (Å) after each atom.
Fractional coordinates of all 52 atoms:
O: 0.4468 0.1403 0.1952  1 P 1.55
O: 0.1361 0.6654 0.3954  1 P 1.59
O: 0.0272 0.9628 0.3741  1 P 1.57
O: 0.1631 0.4198 0.2201  1 P 1.56
O: 0.8639 0.3346 0.6046  1 P 1.59
O: 0.9522 0.9111 0.8315  1 P 1.55
O: 0.7340 0.7131 0.3266  1 P 1.54
O: 0.4268 0.2904 0.4887  1 P 1.58
O: 0.8512 0.4196 0.1612  1 P 1.54
O: 0.5532 0.8597 0.8048  1 P 1.55
O: 0.2660 0.2869 0.6734  1 P 1.54
O: 0.4517 0.8671 0.0695  1 P 1.50
O: 0.8270 0.1395 0.8010  1 P 1.57
O: 0.6081 0.3389 0.7901  1 P 1.56
O: 0.4832 0.5558 0.7321  1 P 1.54
O: 0.8369 0.5802 0.7799  1 P 1.56
O: 0.0706 0.3896 0.4368  1 P 1.53
O: 0.8313 0.7894 0.0452  1 P 1.54
O: 0.5732 0.7096 0.5113  1 P 1.58
O: 0.1730 0.8605 0.1990  1 P 1.57
O: 0.0478 0.0889 0.1685  1 P 1.55
O: 0.3919 0.6611 0.2099  1 P 1.56
O: 0.4381 0.0017 0.6030  1 P 1.61
O: 0.5483 0.1329 0.9305  1 P 1.50
O: 0.1488 0.5804 0.8388  1 P 1.54
O: 0.1687 0.2106 0.9548  1 P 1.54
O: 0.2456 0.8927 0.7216  1 P 1.54
O: 0.7544 0.1073 0.2784  1 P 1.54
O: 0.5168 0.4442 0.2679  1 P 1.54
O: 0.5619 0.9983 0.3970  1 P 1.61
O: 0.9728 0.0372 0.6259  1 P 1.57
O: 0.9294 0.6104 0.5632  1 P 1.53
P: 0.4366 0.3697 0.6675  4 O 1.54-1.58
P: 0.9848 0.0751 0.8069  4 O 1.54-1.57
P: 0.4471 0.9778 0.7727  4 O 1.50-1.61
P: 0.5529 0.0222 0.2273  4 O 1.50-1.61
P: 0.9487 0.5287 0.6926  4 O 1.53-1.59
P: 0.5634 0.6303 0.3325  4 O 1.54-1.58
P: 0.0513 0.4713 0.3074  4 O 1.53-1.59
P: 0.0152 0.9249 0.1931  4 O 1.54-1.57
Li: 0.6080 0.3042 0.1410  4 O 1.94-2.12
Li: 0.7933 0.5388 0.9964  3 O 1.98-2.13
Li: 0.8138 0.1746 0.0304  3 O 1.97-2.13
Li: 0.2067 0.4612 0.0036  3 O 1.98-2.13
Li: 0.3920 0.6958 0.8590  4 O 1.94-2.12
Li: 0.1862 0.8254 0.9696  3 O 1.97-2.13
V: 0.3569 0.8119 0.3842  5 O 1.99-2.14
V: 0.2910 0.2611 0.2234  6 O 1.95-2.13
V: 0.0018 0.8062 0.5059  4 O 1.98-2.13
V: 0.7090 0.7389 0.7766  6 O 1.95-2.13
V: 0.9982 0.1938 0.4941  4 O 1.98-2.13
V: 0.6431 0.1881 0.6158  5 O 1.99-2.14

SG ... P-1 (2)
Energy above the most stable polymorph in this dataset ... 0.996 eV/f.u.



Entry from Alexandria via LeMat-Bulk: a relaxed LiVP2O7 crystal (GGA+U).

Lattice parameters (Å, degrees): 6.5171 6.5171 6.7414 70.21 70.21 80.18
With the nearest neighbours (Å) after each atom.
Fractional coordinates of all 22 atoms:
O: 0.8581 0.8581 0.5043  1 P 1.57
O: 0.2600 0.9508 0.1637  1 P 1.56
O: 0.3540 0.3540 0.0227  1 P 1.51
O: 0.4819 0.7835 0.5313  1 P 1.51
O: 0.9508 0.2600 0.1637  1 P 1.56
O: 0.7835 0.4819 0.5313  1 P 1.51
O: 0.5181 0.2165 0.4687  1 P 1.51
O: 0.1419 0.1419 0.4957  1 P 1.57
O: 0.2165 0.5181 0.4687  1 P 1.51
O: 0.7400 0.0492 0.8363  1 P 1.56
O: 0.8089 0.8089 0.1825  2 P 1.59-1.62
O: 0.6460 0.6460 0.9773  1 P 1.51
O: 0.0492 0.7400 0.8363  1 P 1.56
O: 0.1911 0.1911 0.8175  2 P 1.59-1.62
P: 0.8057 0.8057 0.9446  4 O 1.51-1.62
P: 0.2771 0.2771 0.5551  4 O 1.51-1.59
P: 0.7229 0.7229 0.4449  4 O 1.51-1.59
P: 0.1943 0.1943 0.0554  4 O 1.51-1.62
Li: 0.3274 0.6726 0.0000  2 O 2.01
Li: 0.6726 0.3274 0.0000  2 O 2.01
V: 0.1835 0.8165 0.5000  6 O 1.99-2.08
V: 0.8165 0.1835 0.5000  6 O 1.99-2.08

SG ... C2/m (12)
Total energy ... -7.2226 eV per atom



Entry from Alexandria via LeMat-Bulk: a relaxed Li3V3P4O16 crystal (GGA+U).

Lattice parameters (Å, degrees): 7.6618 8.1173 10.1949 90.00 94.22 90.00
With the nearest neighbours (Å) after each atom.
Fractional coordinates of all 52 atoms:
O: 0.6008 0.5701 0.1561  1 P 1.50
O: 0.3061 0.6365 0.0324  1 P 1.56
O: 0.4854 0.3722 0.3948  1 P 1.55
O: 0.9964 0.1348 0.1520  1 P 1.62
O: 0.9881 0.1290 0.6423  1 P 1.54
O: 0.0119 0.6290 0.3577  1 P 1.54
O: 0.6452 0.1956 0.7260  1 P 1.58
O: 0.1937 0.3598 0.7095  1 P 1.53
O: 0.0036 0.6348 0.8480  1 P 1.62
O: 0.8983 0.4296 0.0921  1 P 1.49
O: 0.8561 0.8054 0.0294  1 P 1.54
O: 0.1439 0.3054 0.9706  1 P 1.54
O: 0.8949 0.4240 0.5950  1 P 1.54
O: 0.3992 0.0701 0.8439  1 P 1.50
O: 0.5146 0.8722 0.6052  1 P 1.55
O: 0.1051 0.9240 0.4050  1 P 1.54
O: 0.1922 0.3536 0.2167  1 P 1.59
O: 0.8695 0.8039 0.5333  1 P 1.60
O: 0.8063 0.8598 0.2905  1 P 1.53
O: 0.5043 0.8669 0.1035  1 P 1.56
O: 0.3873 0.0784 0.3463  1 P 1.57
O: 0.6345 0.1910 0.2222  1 P 1.54
O: 0.1305 0.3039 0.4667  1 P 1.60
O: 0.1017 0.9296 0.9079  1 P 1.49
O: 0.4957 0.3669 0.8965  1 P 1.56
O: 0.6127 0.5784 0.6537  1 P 1.57
O: 0.6832 0.1426 0.4646  1 P 1.54
O: 0.3655 0.6910 0.7778  1 P 1.54
O: 0.6939 0.1365 0.9676  1 P 1.56
O: 0.8078 0.8536 0.7833  1 P 1.59
O: 0.3168 0.6426 0.5354  1 P 1.54
O: 0.3548 0.6956 0.2740  1 P 1.58
V: 0.7365 0.9950 0.1244  5 O 1.98-2.07
V: 0.1429 0.1394 0.3226  5 O 1.93-2.09
V: 0.8571 0.6394 0.6774  5 O 1.93-2.09
V: 0.2635 0.4950 0.8756  5 O 1.98-2.07
V: 0.2575 0.5113 0.3708  5 O 1.97-2.11
V: 0.7425 0.0113 0.6292  5 O 1.97-2.11
P: 0.4516 0.6988 0.6457  4 O 1.54-1.57
P: 0.5484 0.1988 0.3543  4 O 1.54-1.57
P: 0.4496 0.6885 0.1414  4 O 1.50-1.58
P: 0.9497 0.8026 0.3933  4 O 1.53-1.60
P: 0.5504 0.1885 0.8586  4 O 1.50-1.58
P: 0.9492 0.8146 0.9007  4 O 1.49-1.62
P: 0.0508 0.3146 0.0993  4 O 1.49-1.62
P: 0.0503 0.3026 0.6067  4 O 1.53-1.60
Li: 0.3620 0.8581 0.4218  5 O 1.96-2.14
Li: 0.3486 0.8673 0.9237  4 O 1.89-2.11
Li: 0.1590 0.1309 0.8292  3 O 1.89-2.03
Li: 0.6380 0.3581 0.5782  5 O 1.96-2.14
Li: 0.6514 0.3673 0.0763  4 O 1.89-2.11
Li: 0.8410 0.6309 0.1708  3 O 1.89-2.03

SG ... P2_1 (4)
Energy above the most stable polymorph in this dataset ... 0.000 eV/f.u.